GaTcH2 | PBE | relaxed

a = 3.697 Å, b = 3.697 Å, c = 3.697 Å
α = 60.00°, β = 60.00°, γ = 60.00°
Element x y z (fractional)
H1 0.750 0.750 0.750
H2 0.250 0.250 0.250
Tc1 0.500 0.500 0.500
Ga1 0.000 0.000 0.000

Summary:
As for the theoretical density: 7.9 g cm⁻³. The total magnetization comes out at 0.00 Bohr magnetons per cell. The calculation puts the offset from the most stable computed form at 596.8 meV/atom.